Compound: Li4IrO4
Source: the Alexandria database
Functional: PBE
Structure: optimized geometry

Structure (POSCAR):
```
Li4IrO4
1.0
-2.721 2.721 3.873
2.721 -2.721 3.873
2.721 2.721 -3.873
Li Ir O
4 1 4
direct
0.000 0.500 0.500
0.142 0.142 0.000
0.500 0.000 0.500
0.858 0.858 0.000
0.500 0.500 0.000
0.227 0.726 0.000
0.274 0.274 0.501
0.726 0.227 0.000
0.773 0.773 0.499
```

Output
Spin magnetization in μB/cell: 3.0
ΔE_f (raw) in eV per formula unit: -12.2
SG: I-42m (121)
Crystal system: tetragonal